# LiPm2Be3Cu12

A relaxed structure of LiPm2Be3Cu12 (PBE, Alexandria).

Computed properties:
Fermi-level density of states: 9.36 states/eV/cell
E_form: 0.282 eV/atom
density: 6.38 g/cm³
calculated volume: 15.71 Å³ per atom

Structure (POSCAR):
```
LiPm2Be3Cu12
1.0
-3.8664 -5.4393 1.6314
-2.3657 -2.8188 -5.8013
3.6028 -5.7067 -1.2845
Cu Pm Be Li
12 2 3 1
Direct
0.1270 0.1270 0.6485
0.2912 0.2912 0.8523
0.6485 0.1270 0.1270
0.8523 0.2912 0.2912
0.8730 0.3515 0.8730
0.1270 0.6485 0.1270
0.1477 0.7088 0.7088
0.8730 0.8730 0.3515
0.2912 0.8523 0.2912
0.7088 0.7088 0.1477
0.7088 0.1477 0.7088
0.3515 0.8730 0.8730
0.6151 0.6151 0.6151
0.3849 0.3849 0.3849
0.5000 0.0000 0.0000
0.0000 0.5000 0.0000
0.0000 0.0000 0.5000
0.0000 0.0000 0.0000
```